No. 1
The following is a PBE-GGA calculation of an optimized crystal structure of La4YCo, from the Alexandria database.

Calculated values
E_form ... 672.3 meV per atom
Total moment ... 1.5 μB per cell
SG ... F-43m, No. 216

Cell: 6.4903 6.4903 6.4903 Å, 60.00 60.00 60.00°
Sites, in units of the cell vectors:
La1 0.3761 0.3761 0.3761
La2 0.3761 0.3761 0.8716
La3 0.3761 0.8716 0.3761
La4 0.8716 0.3761 0.3761
Y1 0.0000 0.0000 0.0000
Co1 0.7500 0.7500 0.7500

No. 2
The following is a PBE-GGA calculation of an optimized crystal structure of Ac8Ge3IrBr4, from the Alexandria database.

Calculated values
Total moment ... 0.0 μB per cell
SG ... R-3m, No. 166
ΔE_f (raw) ... -1113 meV/atom

Cell: 9.2930 9.2930 9.2930 Å, 59.10 59.10 59.10°
Sites, in units of the cell vectors:
Ac1 0.2404 0.2404 0.2404
Ac2 0.2509 0.7294 0.7294
Ac3 0.2706 0.2706 0.7491
Ac4 0.2706 0.7491 0.2706
Ac5 0.7294 0.2509 0.7294
Ac6 0.7294 0.7294 0.2509
Ac7 0.7491 0.2706 0.2706
Ac8 0.7596 0.7596 0.7596
Ge1 0.0000 0.0000 0.5000
Ge2 0.0000 0.5000 0.0000
Ge3 0.5000 0.0000 0.0000
Ir1 0.5000 0.5000 0.5000
Br1 0.0000 0.0000 0.0000
Br2 0.0000 0.5000 0.5000
Br3 0.5000 0.0000 0.5000
Br4 0.5000 0.5000 0.0000

No. 3
The following is a PBE-GGA calculation of an optimized crystal structure of TcPbS2, from the Alexandria database.

Calculated values
Total moment ... 5.4 μB per cell
SG ... R-3m, No. 166
ΔE_f (raw) ... -269 meV/atom

Cell: 3.4507 3.4507 25.9909 Å, 90.00 90.00 120.00°
Sites, in units of the cell vectors:
Tc1 0.0000 0.0000 0.0000
Tc2 0.3333 0.6667 0.6667
Tc3 0.6667 0.3333 0.3333
Pb1 0.0000 0.0000 0.5000
Pb2 0.3333 0.6667 0.1667
Pb3 0.6667 0.3333 0.8333
S1 0.0000 0.0000 0.3867
S2 0.0000 0.0000 0.6133
S3 0.3333 0.6667 0.0533
S4 0.3333 0.6667 0.2800
S5 0.6667 0.3333 0.7200
S6 0.6667 0.3333 0.9467

No. 4
The following is a PBE-GGA calculation of an optimized crystal structure of HoZn2F6, from the Alexandria database.

Calculated values
Total moment ... 0.0 μB per cell
SG ... C2/m, No. 12
ΔE_f (raw) ... -2783 meV/atom

Cell: 5.6392 5.6392 7.2108 Å, 117.62 117.62 40.15°
Sites, in units of the cell vectors:
Ho1 0.0000 0.0000 0.0000
Zn1 0.1792 0.1792 0.6178
Zn2 0.8208 0.8208 0.3822
F1 0.0190 0.0190 0.7015
F2 0.2402 0.2402 0.3081
F3 0.3733 0.3733 0.9628
F4 0.6267 0.6267 0.0372
F5 0.7598 0.7598 0.6919
F6 0.9810 0.9810 0.2985